Ti3Zn2In3: relaxed, PBE.

The space group is Immm (No. 71) and the conventional cell measures 4.241, 4.266 and 16.127 Å, with angles of 90.00, 90.00 and 90.00 degrees. Symmetry generates all atoms from Ti at (0.000, 0.000, 0.000), Ti at (0.000, 0.500, 0.371), Zn at (0.000, 0.000, 0.249), In at (0.000, 0.000, 0.500) and In at (0.000, 0.500, 0.134).

For the formation energy, the calculation gives -0.056 eV/atom. The theoretical density comes out at 7.045 Mg/m³. The value obtained for the electronic total energy is -69.80 eV for the cell shown. Its total magnetization is 0.0 μB per formula unit.



Ti12ZnIn3: relaxed, PBE.

The space group is P4/mmm (No. 123) and the conventional cell measures 4.132, 4.132 and 16.457 Å, with angles of 90.00, 90.00 and 90.00 degrees. Symmetry generates all atoms from Ti at (0.000, 0.000, 0.000), Ti at (0.000, 0.000, 0.245), Ti at (0.000, 0.000, 0.500), Ti at (0.000, 0.500, 0.118), Ti at (0.000, 0.500, 0.373), Zn at (0.500, 0.500, 0.000), In at (0.500, 0.500, 0.245) and In at (0.500, 0.500, 0.500).

For the formation energy, the calculation gives -0.112 eV/atom. The theoretical density comes out at 5.816 Mg/m³. The value obtained for the electronic total energy is -106.02 eV for the cell shown. Its total magnetization is 0.0 μB per formula unit.



TiZn2In: relaxed, PBE.

The space group is I-42d (No. 122) and the conventional cell measures 7.360, 7.360 and 5.662 Å, with angles of 90.00, 90.00 and 90.00 degrees. Symmetry generates all atoms from Ti at (0.000, 0.000, 0.000), Zn at (0.247, 0.750, 0.125) and In at (0.000, 0.000, 0.500).

For the formation energy, the calculation gives 0.215 eV/atom. The theoretical density comes out at 6.356 Mg/m³. The value obtained for the electronic total energy is -49.28 eV for the cell shown. Its total magnetization is 0.8 μB per formula unit.



Ti7Zn2In2: relaxed, PBE.

The space group is Cmmm (No. 65) and the conventional cell measures 5.559, 9.797 and 7.809 Å, with angles of 90.00, 90.00 and 90.00 degrees. Symmetry generates all atoms from Ti at (0.000, 0.000, 0.000), Ti at (0.000, 0.500, 0.175), Ti at (0.250, 0.250, 0.299), Zn at (0.000, 0.268, 0.000) and In at (0.246, 0.000, 0.500).

For the formation energy, the calculation gives 0.333 eV/atom. The theoretical density comes out at 5.432 Mg/m³. The value obtained for the electronic total energy is -119.26 eV for the cell shown. Its total magnetization is 6.3 μB per formula unit.



Ti2ZnIn: relaxed, PBE.

The space group is P4/mmm (No. 123) and the conventional cell measures 4.060, 4.060 and 4.209 Å, with angles of 90.00, 90.00 and 90.00 degrees. Symmetry generates all atoms from Ti at (0.000, 0.500, 0.000), Zn at (0.000, 0.000, 0.500) and In at (0.500, 0.500, 0.500).

For the formation energy, the calculation gives -0.164 eV/atom. The theoretical density comes out at 6.607 Mg/m³. The value obtained for the electronic total energy is -20.46 eV for the cell shown. Its total magnetization is 0.0 μB per formula unit.



Ti2ZnIn2: relaxed, PBE.

The space group is Cmmm (No. 65) and the conventional cell measures 2.961, 21.113 and 3.045 Å, with angles of 90.00, 90.00 and 90.00 degrees. Symmetry generates all atoms from Ti at (0.000, 0.084, 0.000), Zn at (0.000, 0.500, 0.500) and In at (0.000, 0.315, 0.500).

For the formation energy, the calculation gives -0.087 eV/atom. The theoretical density comes out at 6.817 Mg/m³. The value obtained for the electronic total energy is -45.95 eV for the cell shown. Its total magnetization is 0.4 μB per formula unit. The value obtained for the energy above the most stable polymorph in this dataset is 0.0 meV per atom.



Ti3ZnIn2: relaxed, PBE.

The space group is Cmcm (No. 63) and the conventional cell measures 9.000, 5.138 and 9.723 Å, with angles of 90.00, 90.00 and 90.00 degrees. Symmetry generates all atoms from Ti at (0.000, 0.000, 0.000), Ti at (0.158, 0.500, 0.000), Zn at (0.000, 0.337, 0.250) and In at (0.167, 0.162, 0.750).

For the formation energy, the calculation gives 0.008 eV/atom. The theoretical density comes out at 6.481 Mg/m³. The value obtained for the electronic total energy is -121.54 eV for the cell shown. Its total magnetization is 0.0 μB per formula unit. The value obtained for the energy above the most stable polymorph in this dataset is 160.2 meV per atom.



Ti6Zn5In: relaxed, PBE.

The space group is Immm (No. 71) and the conventional cell measures 4.034, 7.924 and 12.131 Å, with angles of 90.00, 90.00 and 90.00 degrees. Symmetry generates all atoms from Ti at (0.000, 0.236, 0.000), Ti at (0.000, 0.257, 0.331), Zn at (0.000, 0.000, 0.170), Zn at (0.000, 0.500, 0.169), Zn at (0.000, 0.500, 0.500) and In at (0.000, 0.000, 0.500).

For the formation energy, the calculation gives -0.176 eV/atom. The theoretical density comes out at 6.244 Mg/m³. The value obtained for the electronic total energy is -117.18 eV for the cell shown. Its total magnetization is 2.6 μB per formula unit.



Ti4ZnIn2: relaxed, PBE.

The space group is P2_1/m (No. 11) and the conventional cell measures 5.020, 5.547 and 9.399 Å, with angles of 90.00, 99.60 and 90.00 degrees. Symmetry generates all atoms from Ti at (0.154, 0.013, 0.285), Ti at (0.227, 0.250, 0.568), Ti at (0.346, 0.750, 0.872), Zn at (0.479, 0.250, 0.832), In at (0.110, 0.250, 0.992) and In at (0.313, 0.750, 0.574).

For the formation energy, the calculation gives -0.014 eV/atom. The theoretical density comes out at 6.261 Mg/m³. The value obtained for the electronic total energy is -76.86 eV for the cell shown. Its total magnetization is 0.0 μB per formula unit. The value obtained for the energy above the most stable polymorph in this dataset is 0.0 meV per atom.



Ti5ZnIn2: relaxed, PBE.

The space group is Cmcm (No. 63) and the conventional cell measures 4.423, 13.359 and 11.487 Å, with angles of 90.00, 90.00 and 90.00 degrees. Symmetry generates all atoms from Ti at (0.000, 0.124, 0.127), Ti at (0.000, 0.294, 0.750), Ti at (0.000, 0.306, 0.006), Zn at (0.000, 0.316, 0.250) and In at (0.000, 0.092, 0.624).

For the formation energy, the calculation gives 0.301 eV/atom. The theoretical density comes out at 5.229 Mg/m³. The value obtained for the electronic total energy is -175.28 eV for the cell shown. Its total magnetization is 0.0 μB per formula unit. The value obtained for the energy above the most stable polymorph in this dataset is 415.5 meV per atom.



Ti4Zn2In3: relaxed, PBE.

The space group is C2/m (No. 12) and the conventional cell measures 9.413, 4.025 and 9.001 Å, with angles of 90.00, 106.02 and 90.00 degrees. Symmetry generates all atoms from Ti at (0.015, 0.000, 0.180), Ti at (0.176, 0.500, 0.390), Zn at (0.153, 0.500, 0.709), In at (0.000, 0.000, 0.500) and In at (0.170, 0.500, 0.061).

For the formation energy, the calculation gives -0.067 eV/atom. The theoretical density comes out at 6.755 Mg/m³. The value obtained for the electronic total energy is -85.89 eV for the cell shown. Its total magnetization is 0.0 μB per formula unit. The value obtained for the energy above the most stable polymorph in this dataset is 0.0 meV per atom.



Ti9Zn4In11: relaxed, PBE.

The space group is Cmmm (No. 65) and the conventional cell measures 13.978, 20.640 and 3.193 Å, with angles of 90.00, 90.00 and 90.00 degrees. Symmetry generates all atoms from Ti at (0.000, 0.000, 0.000), Ti at (0.098, 0.235, 0.000), Ti at (0.143, 0.428, 0.000), Zn at (0.155, 0.103, 0.000), In at (0.000, 0.132, 0.500), In at (0.000, 0.341, 0.500), In at (0.000, 0.500, 0.500), In at (0.208, 0.000, 0.500) and In at (0.228, 0.320, 0.500).

For the formation energy, the calculation gives -0.001 eV/atom. The theoretical density comes out at 7.050 Mg/m³. The value obtained for the electronic total energy is -212.60 eV for the cell shown. Its total magnetization is 1.0 μB per formula unit.